#P
Here is a relaxed TaB3Pb crystal from Alexandria. Energies are from PBE.

Results
Crystal system   cubic
Total magnetic moment   0.00 μB/f.u.
Fermi-level density of states   5.11 states/eV/cell

```
TaB3Pb
1.0
4.4007 0.0000 0.0000
0.0000 4.4007 0.0000
0.0000 0.0000 4.4007
Ta B Pb
1 3 1
Direct
0.0000 0.0000 0.0000
0.0000 0.5000 0.5000
0.5000 0.0000 0.5000
0.5000 0.5000 0.0000
0.5000 0.5000 0.5000
```

=====

#Q
Here is a relaxed TaB3Pb crystal from Alexandria. Energies are from PBE.

Results
Crystal system   cubic
Total magnetic moment   0.00 μB/f.u.
Fermi-level density of states   1.47 states/eV/cell

```
TaB3Pb
1.0
4.4049 0.0000 0.0000
0.0000 4.4049 0.0000
0.0000 0.0000 4.4049
Ta B Pb
1 3 1
Direct
0.0000 0.0000 0.0000
0.0000 0.0000 0.5000
0.0000 0.5000 0.0000
0.5000 0.0000 0.0000
0.5000 0.5000 0.5000
```

=====

Name the least stable of them. #P.

=====

#P
Here is a relaxed TaBPb3 crystal from Alexandria. Energies are from PBE.

Results
Crystal system   cubic
Total magnetic moment   0.00 μB/f.u.
Fermi-level density of states   5.72 states/eV/cell

```
TaBPb3
1.0
4.9406 0.0000 0.0000
0.0000 4.9406 0.0000
0.0000 0.0000 4.9406
Ta B Pb
1 1 3
Direct
0.0000 0.0000 0.0000
0.5000 0.5000 0.5000
0.0000 0.5000 0.5000
0.5000 0.0000 0.5000
0.5000 0.5000 0.0000
```

=====

#Q
Here is a relaxed TaBPb3 crystal from Alexandria. Energies are from PBE.

Results
Crystal system   cubic
Total magnetic moment   0.43 μB/f.u.
Fermi-level density of states   4.37 states/eV/cell

```
TaBPb3
1.0
5.5074 0.0000 0.0000
0.0000 5.5074 0.0000
0.0000 0.0000 5.5074
Ta B Pb
1 1 3
Direct
0.0000 0.0000 0.0000
0.5000 0.5000 0.5000
0.0000 0.0000 0.5000
0.0000 0.5000 0.0000
0.5000 0.0000 0.0000
```

=====

Name the least stable of them. #Q.

=====

#P
Here is a relaxed Ta3BPb crystal from Alexandria. Energies are from PBE.

Results
Crystal system   cubic
Total magnetic moment   0.00 μB/f.u.
Fermi-level density of states   7.67 states/eV/cell

```
Ta3BPb
1.0
4.4389 0.0000 0.0000
0.0000 4.4389 0.0000
0.0000 0.0000 4.4389
Ta B Pb
3 1 1
Direct
0.0000 0.0000 0.5000
0.0000 0.5000 0.0000
0.5000 0.0000 0.0000
0.0000 0.0000 0.0000
0.5000 0.5000 0.5000
```

=====

#Q
Here is a relaxed Ta3BPb crystal from Alexandria. Energies are from PBE.

Results
Crystal system   cubic
Total magnetic moment   0.00 μB/f.u.
Fermi-level density of states   10.83 states/eV/cell

```
Ta3BPb
1.0
5.1095 0.0000 0.0000
0.0000 5.1095 0.0000
0.0000 0.0000 5.1095
Ta B Pb
3 1 1
Direct
0.0000 0.0000 0.5000
0.0000 0.5000 0.0000
0.5000 0.0000 0.0000
0.5000 0.5000 0.5000
0.0000 0.0000 0.0000
```

=====

Name the least stable of them. #Q.

=====

#P
Here is a relaxed BTe2Pb crystal from Alexandria. Energies are from PBE.

Results
Crystal system   trigonal
Total magnetic moment   0.00 μB/f.u.
Fermi-level density of states   2.99 states/eV/cell

```
BTe2Pb
1.0
1.7976 1.0378 8.5956
-1.7976 1.0378 8.5956
0.0000 -2.0757 8.5956
B Te Pb
1 2 1
Direct
0.0000 0.0000 0.0000
0.2774 0.2774 0.2774
0.7226 0.7226 0.7226
0.5000 0.5000 0.5000
```

=====

#Q
Here is a relaxed BTe2Pb crystal from Alexandria. Energies are from PBE.

Results
Crystal system   tetragonal
Total magnetic moment   0.00 μB/f.u.
Fermi-level density of states   2.22 states/eV/cell

```
BTe2Pb
1.0
-3.4965 3.4965 4.5925
3.4965 -3.4965 4.5925
3.4965 3.4965 -4.5925
B Te Pb
2 4 2
Direct
0.0000 0.0000 0.0000
0.7500 0.2500 0.5000
0.0195 0.6250 0.8945
0.3750 0.2695 0.3945
0.7305 0.1250 0.1055
0.8750 0.9805 0.6055
0.2500 0.7500 0.5000
0.5000 0.5000 0.0000
```

=====

#R
Here is a relaxed BTe2Pb crystal from Alexandria. Energies are from PBE.

Results
Crystal system   trigonal
Total magnetic moment   0.99 μB/f.u.
Fermi-level density of states   2.24 states/eV/cell

```
BTe2Pb
1.0
2.5950 1.4982 7.1099
-2.5950 1.4982 7.1099
0.0000 -2.9964 7.1099
B Te Pb
1 2 1
Direct
0.0000 0.0000 0.0000
0.0963 0.0963 0.0963
0.9037 0.9037 0.9037
0.5000 0.5000 0.5000
```

=====

Name the least stable of them. #P.

=====

#P
Here is a relaxed B2TePb crystal from Alexandria. Energies are from PBE.

Results
Crystal system   cubic
Total magnetic moment   0.00 μB/f.u.
Fermi-level density of states   3.10 states/eV/cell

```
B2TePb
1.0
0.0000 3.3292 3.3292
3.3292 0.0000 3.3292
3.3292 3.3292 0.0000
B Te Pb
2 1 1
Direct
0.2500 0.2500 0.2500
0.7500 0.7500 0.7500
0.0000 0.0000 0.0000
0.5000 0.5000 0.5000
```

=====

#Q
Here is a relaxed B2TePb crystal from Alexandria. Energies are from PBE.

Results
Crystal system   tetragonal
Total magnetic moment   0.00 μB/f.u.
Fermi-level density of states   0.00 states/eV/cell

```
B2TePb
1.0
-2.7055 2.7055 5.3447
2.7055 -2.7055 5.3447
2.7055 2.7055 -5.3447
B Te Pb
4 2 2
Direct
0.1103 0.6250 0.9853
0.3750 0.3603 0.4853
0.6397 0.1250 0.0147
0.8750 0.8897 0.5147
0.0000 0.0000 0.0000
0.7500 0.2500 0.5000
0.2500 0.7500 0.5000
0.5000 0.5000 0.0000
```

=====

Name the least stable of them. #P.

=====

#P
Here is a relaxed B2Te2Pb crystal from Alexandria. Energies are from PBE.

Results
Crystal system   tetragonal
Total magnetic moment   0.00 μB/f.u.
Fermi-level density of states   3.66 states/eV/cell

```
B2Te2Pb
1.0
8.5168 0.0000 0.0000
0.0000 8.5168 0.0000
0.0000 0.0000 3.5196
B Te Pb
4 4 2
Direct
0.2408 0.2592 0.0000
0.2592 0.7592 0.0000
0.7408 0.2408 0.0000
0.7592 0.7408 0.0000
0.1447 0.6447 0.5000
0.3553 0.1447 0.5000
0.6447 0.8553 0.5000
0.8553 0.3553 0.5000
0.0000 0.0000 0.5000
0.5000 0.5000 0.5000
```

=====

#Q
Here is a relaxed B2Te2Pb crystal from Alexandria. Energies are from PBE.

Results
Crystal system   tetragonal
Total magnetic moment   0.00 μB/f.u.
Fermi-level density of states   3.15 states/eV/cell

```
B2Te2Pb
1.0
-2.0680 2.0680 6.7316
2.0680 -2.0680 6.7316
2.0680 2.0680 -6.7316
B Te Pb
2 2 1
Direct
0.2500 0.7500 0.5000
0.7500 0.2500 0.5000
0.1605 0.1605 0.0000
0.8395 0.8395 0.0000
0.5000 0.5000 0.0000
```

=====

Name the least stable of them. #P.

=====

#P
Here is a relaxed TiB3Pb crystal from Alexandria. Energies are from PBE.

Results
Crystal system   cubic
Total magnetic moment   0.00 μB/f.u.
Fermi-level density of states   5.66 states/eV/cell

```
TiB3Pb
1.0
4.4952 0.0000 0.0000
0.0000 4.4952 0.0000
0.0000 0.0000 4.4952
Ti B Pb
1 3 1
Direct
0.0000 0.0000 0.0000
0.0000 0.5000 0.5000
0.5000 0.0000 0.5000
0.5000 0.5000 0.0000
0.5000 0.5000 0.5000
```

=====

#Q
Here is a relaxed TiB3Pb crystal from Alexandria. Energies are from PBE.

Results
Crystal system   cubic
Total magnetic moment   0.00 μB/f.u.
Fermi-level density of states   7.26 states/eV/cell

```
TiB3Pb
1.0
4.3385 0.0000 0.0000
0.0000 4.3385 0.0000
0.0000 0.0000 4.3385
Ti B Pb
1 3 1
Direct
0.0000 0.0000 0.0000
0.0000 0.0000 0.5000
0.0000 0.5000 0.0000
0.5000 0.0000 0.0000
0.5000 0.5000 0.5000
```

=====

Name the least stable of them. #P.

=====

#P
Here is a relaxed Ti6BPb2 crystal from Alexandria. Energies are from PBE.

Results
Crystal system   orthorhombic
Total magnetic moment   0.00 μB/f.u.
Fermi-level density of states   13.69 states/eV/cell

```
Ti6BPb2
1.0
-3.0455 3.0504 4.2226
3.0455 -3.0504 4.2226
3.0455 3.0504 -4.2226
Ti B Pb
6 1 2
Direct
0.2372 0.2372 0.0000
0.2421 0.2451 0.4872
0.2421 0.7549 0.9969
0.7579 0.2451 0.0031
0.7579 0.7549 0.5128
0.7628 0.7628 0.0000
0.5000 0.5000 0.0000
0.2517 0.7517 0.5000
0.7483 0.2483 0.5000
```

=====

#Q
Here is a relaxed Ti6BPb2 crystal from Alexandria. Energies are from PBE.

Results
Crystal system   monoclinic
Total magnetic moment   4.41 μB/f.u.
Fermi-level density of states   11.95 states/eV/cell

```
Ti6BPb2
1.0
6.9608 -3.8190 0.0000
6.9608 3.8190 0.0000
-0.7841 0.0000 3.2294
Ti B Pb
6 1 2
Direct
0.0142 0.6643 0.3409
0.1931 0.8069 0.0000
0.3357 0.9858 0.6591
0.6643 0.0142 0.3409
0.8069 0.1931 0.0000
0.9858 0.3357 0.6591
0.0000 0.0000 0.5000
0.3609 0.3609 0.8630
0.6391 0.6391 0.1370
```

=====

Name the least stable of them. #Q.